1.
NdScTc4: optimized geometry, PBE.

Properties
calculated density: 8.8 Mg/m³
electronic total energy: -0.3242 hartree per atom

```
6
Lattice="5.382 0.000 0.000 2.691 4.661 0.000 2.691 1.554 4.395" Properties=species:S:1:pos:R:3 pbc="T T T"
Tc 5.382 1.549 2.748
Sc 0.000 0.000 0.000
Tc 4.033 3.887 2.748
Tc 6.732 3.887 2.748
Tc 5.382 3.107 0.545
Nd 2.691 1.554 1.099
```

2.
Ba2Mg12TlZn3: optimized geometry, PBE.

Properties
calculated density: 2.8 Mg/m³
electronic total energy: -0.0513 hartree per atom

```
18
Lattice="-1.339 -0.530 -8.958 -3.659 -7.705 -3.093 -8.606 0.464 -2.836" Properties=species:S:1:pos:R:3 pbc="T T T"
Mg -10.122 -2.997 -11.528
Mg -7.093 -0.748 -8.297
Mg -6.512 -7.023 -6.589
Mg -2.332 -1.216 -6.268
Zn -4.303 0.232 -1.418
Mg -9.422 -2.217 -6.438
Mg -4.182 -5.554 -8.448
Mg -5.936 -0.723 -3.232
Mg -3.483 -4.774 -3.359
Mg -8.457 -4.969 -4.847
Zn -1.829 -3.853 -1.546
Zn -0.670 -0.265 -4.479
Mg -7.668 -7.048 -11.655
Ba -5.436 -3.105 -5.948
Tl 0.000 0.000 0.000
Ba -8.169 -4.666 -8.939
Mg -11.272 -6.556 -8.619
Mg -5.147 -2.802 -10.040
```

Results for formation enthalpy at 0 K: -61.3, 224.3 (in meV/atom, following the order of the records).